{"formula": "CsPdOF2", "functional": "PBE-GGA", "state": "optimized geometry", "formation_energy_uncorrected_ev_per_atom": -1.409, "dos_at_fermi_per_ev_atom": 0.49, "e_tot_ev_per_cell": -21.79, "de_polymorph_ev_per_atom": 0.000, "cell": [[4.6330, 0.0000, 0.0000], [0.0000, 4.6330, 0.0000], [0.0000, 0.0000, 3.9179]], "species": ["Cs", "F", "Pd", "F", "O"], "fractional_positions": [[0.5000, 0.5000, 0.5000], [0.5000, 0.0000, 0.0000], [0.0000, 0.0000, 0.0000], [0.0000, 0.5000, 0.0000], [0.0000, 0.0000, 0.5000]]}